Compound: BeAlCl2
Source: the Alexandria database
Functional: PBE
Structure: optimized geometry

Cell lengths 3.329, 6.622, 4.662 Å; angles 68.79, 90.00, 90.00 degrees
Sites, in units of the cell vectors:
Be1 0.500 0.642 0.831
Al1 0.000 0.610 0.472
Cl1 0.000 0.857 0.965
Cl2 0.500 0.391 0.232

Computed properties:
As for the energy relative to the elements, uncorrected: -2.2 eV per formula unit. Its offset from the most stable computed form is 111.9 meV per atom. For the total energy, the calculation gives -3.3291 eV per atom.